[1]
TiRe3Hg | Alexandria via LeMat-Bulk | PBE-GGA | optimized geometry; E_form = 1.9286 eV per atom; D(E_F) = 1.427 states/eV per atom; raw total energy = -0.26385 hartree per atom; space group = Pm-3m (221); mass density = 13.855 g/cm³
1.0
4.5904 0.0000 0.0000
0.0000 4.5904 0.0000
0.0000 0.0000 4.5904
Ti Re Hg
1 3 1
direct
0.0000 0.0000 0.0000
0.0000 0.0000 0.5000
0.0000 0.5000 0.0000
0.5000 0.0000 0.0000
0.5000 0.5000 0.5000

[2]
In | Alexandria via LeMat-Bulk | PBE-GGA | optimized geometry; E_form = 0.0151 eV per atom; D(E_F) = 0.375 states/eV per atom; raw total energy = -0.10008 hartree per atom; space group = P6_3/mmc (194); mass density = 7.044 g/cm³
1.0
3.3548 0.0000 0.0000
-1.6774 2.9054 0.0000
0.0000 0.0000 11.1077
In
4
direct
0.0000 0.0000 0.0000
0.0000 0.0000 0.5000
0.3333 0.6667 0.2500
0.6667 0.3333 0.7500

[3]
PaCuNiAu | Alexandria via LeMat-Bulk | PBE-GGA | optimized geometry; E_form = -0.1790 eV per atom; D(E_F) = 1.193 states/eV per atom; raw total energy = -0.21468 hartree per atom; space group = F-43m (216); mass density = 13.271 g/cm³
1.0
0.0000 3.2530 3.2530
3.2530 0.0000 3.2530
3.2530 3.2530 0.0000
Pa Cu Ni Au
1 1 1 1
direct
0.0000 0.0000 0.0000
0.7500 0.7500 0.7500
0.2500 0.2500 0.2500
0.5000 0.5000 0.5000

[4]
MnAl2Ag | Alexandria via LeMat-Bulk | PBE-GGA | optimized geometry; E_form = -0.0519 eV per atom; D(E_F) = 0.577 states/eV per atom; raw total energy = -0.18111 hartree per atom; space group = I-4m2 (119); mass density = 5.946 g/cm³
1.0
-1.8993 1.8993 4.1952
1.8993 -1.8993 4.1952
1.8993 1.8993 -4.1952
Mn Al Ag
1 2 1
direct
0.0000 0.0000 0.0000
0.5000 0.5000 0.0000
0.7500 0.2500 0.5000
0.2500 0.7500 0.5000

[5]
Zr5P3 | Alexandria via LeMat-Bulk | PBE-GGA | optimized geometry; E_form = -0.8552 eV per atom; D(E_F) = 0.625 states/eV per atom; raw total energy = -0.30232 hartree per atom; space group = Cmmm (65); mass density = 6.046 g/cm³
1.0
3.8669 -4.9463 0.0000
3.8669 4.9463 0.0000
0.0000 0.0000 3.9416
Zr P
5 3
direct
0.0000 0.0000 0.0000
0.0000 0.5000 0.0000
0.2831 0.2831 0.5000
0.5000 0.0000 0.0000
0.7169 0.7169 0.5000
0.1884 0.8116 0.5000
0.5000 0.5000 0.0000
0.8116 0.1884 0.5000

[6]
Hf3NbTl | Alexandria via LeMat-Bulk | PBE-GGA | optimized geometry; E_form = 1.6690 eV per atom; D(E_F) = 2.219 states/eV per atom; raw total energy = -0.24954 hartree per atom; space group = Pm-3m (221); mass density = 9.841 g/cm³
1.0
5.1988 0.0000 0.0000
0.0000 5.1988 0.0000
0.0000 0.0000 5.1988
Hf Nb Tl
3 1 1
direct
0.0000 0.0000 0.5000
0.0000 0.5000 0.0000
0.5000 0.0000 0.0000
0.5000 0.5000 0.5000
0.0000 0.0000 0.0000

What did the third record say?
PaCuNiAu | Alexandria via LeMat-Bulk | PBE-GGA | optimized geometry; E_form = -0.1790 eV per atom; D(E_F) = 1.193 states/eV per atom; raw total energy = -0.21468 hartree per atom; space group = F-43m (216); mass density = 13.271 g/cm³
1.0
0.0000 3.2530 3.2530
3.2530 0.0000 3.2530
3.2530 3.2530 0.0000
Pa Cu Ni Au
1 1 1 1
direct
0.0000 0.0000 0.0000
0.7500 0.7500 0.7500
0.2500 0.2500 0.2500
0.5000 0.5000 0.5000

> What is the mass density in the second record?

7.044 g/cm³

> Look up the mass density of the first one.

13.855 g/cm³